No. 1
The following is a PBE-GGA calculation of an optimized crystal structure of Ac2TlGe3Pd4, from Alexandria via LeMat-Bulk.

Cell: 4.492 4.492 10.780 Å, 90.00 90.00 90.00°
Fractional coordinates of all 10 atoms:
Ac (0.500, 0.000, 0.240)
Ac (0.000, 0.500, 0.760)
Tl (0.500, 0.500, 0.500)
Ge (0.000, 0.000, 0.500)
Ge (0.500, 0.000, 0.883)
Ge (0.000, 0.500, 0.117)
Pd (0.500, 0.500, 0.000)
Pd (0.000, 0.000, 0.000)
Pd (0.500, 0.000, 0.651)
Pd (0.000, 0.500, 0.349)

Summary:
ΔH_f (0 K) in eV/atom: -0.729

---

No. 2
The following is a PBE-GGA calculation of an optimized crystal structure of Nd7Ho6, from Alexandria via LeMat-Bulk.

Cell: 6.643 6.643 12.180 Å, 74.18 74.18 60.00°
Fractional coordinates of all 13 atoms:
Nd (0.406, 0.924, 0.264)
Nd (0.406, 0.406, 0.264)
Nd (0.924, 0.406, 0.264)
Nd (0.594, 0.076, 0.736)
Nd (0.076, 0.594, 0.736)
Nd (0.594, 0.594, 0.736)
Nd (0.500, 0.500, 0.500)
Ho (0.954, 0.954, 0.137)
Ho (0.046, 0.046, 0.863)
Ho (0.853, 0.853, 0.442)
Ho (0.147, 0.147, 0.558)
Ho (0.665, 0.665, 0.004)
Ho (0.335, 0.335, 0.996)

Summary:
ΔH_f (0 K) in eV/atom: 0.250